A plane-wave DFT calculation with GGA-PBE was carried out for LiZn2Br after structural relaxation.

* total energy: -6.679 eV/cell
* space-group type: I-4m2, No. 119
* spin magnetization: 0.0 Bohr magnetons per cell
* E_form (uncorrected): -0.136 eV per atom
* D(E_F): 0.134 states/eV/atom

abc: 5.2438 5.2438 5.2438
angles: 127.46 127.46 77.50
Fractional coordinates of all 4 atoms:
Br  0.5000  0.5000  0.0000
Zn  0.2500  0.7500  0.5000
Zn  0.0000  0.0000  0.0000
Li  0.7500  0.2500  0.5000